Record 1
Material: RbHfAu
Method: DFT, PBE-GGA
State: relaxed

a b c (Å): 7.154 7.154 7.154
angles (deg): 90.00 90.00 90.00
Space group F-43m (No. 216)
One atom of each set of equivalent atoms:
1 Rb 0.000 0.000 0.000
2 Hf 0.000 0.000 0.500
3 Au 0.250 0.250 0.750

Energy relative to the lowest polymorph listed for this composition ... 0.000 eV per atom

=====

Record 2
Material: TbSiAsO
Method: DFT, PBE-GGA
State: relaxed

a b c (Å): 4.050 4.050 8.881
angles (deg): 90.00 90.00 90.00
Space group P4/nmm (No. 129, origin choice 2)
One atom of each set of equivalent atoms:
1 Tb 0.250 0.250 0.118
2 Si 0.250 0.750 0.500
3 As 0.250 0.250 0.680
4 O 0.250 0.750 0.000

Energy relative to the lowest polymorph listed for this composition ... 0.080 eV per atom

=====

Record 3
Material: ErTm2PdPt2Pb3
Method: DFT, PBE-GGA
State: relaxed

a b c (Å): 3.890 13.424 7.742
angles (deg): 90.00 90.00 90.00
Space group Amm2 (No. 38)
One atom of each set of equivalent atoms:
1 Er 0.000 0.000 0.000
2 Tm 0.000 0.203 0.609
3 Pd 0.000 0.000 0.407
4 Pt 0.500 0.167 0.906
5 Pb 0.500 0.000 0.670
6 Pb 0.500 0.132 0.275

Electronic total energy ... -5.460 eV/atom

=====

Record 4
Material: Nd3Cd3GaPd2
Method: DFT, PBE-GGA
State: relaxed

a b c (Å): 7.7893 7.7893 4.0461
angles (deg): 90.00 90.00 120.00
Space group P-62m (No. 189)
One atom of each set of equivalent atoms:
1 Nd 0.0000 0.4121 0.0000
2 Cd 0.0000 0.7444 0.5000
3 Ga 0.0000 0.0000 0.0000
4 Pd 0.3333 0.6667 0.5000

Electronic total energy ... -3.985 eV/atom

=====

Record 5
Material: Th2Tl3Pb3
Method: DFT, PBE-GGA
State: relaxed

a b c (Å): 4.872 4.911 9.712
angles (deg): 90.00 90.00 90.00
Space group Pmmm (No. 47)
One atom of each set of equivalent atoms:
1 Th 0.000 0.000 0.249
2 Tl 0.000 0.500 0.500
3 Tl 0.500 0.500 0.254
4 Pb 0.000 0.500 0.000
5 Pb 0.500 0.000 0.000
6 Pb 0.500 0.000 0.500

Electronic total energy ... -4.341 eV/atom

=====

Record 6
Material: Y4FeAuC2
Method: DFT, PBE-GGA
State: relaxed

a b c (Å): 3.6288 3.6288 14.2183
angles (deg): 90.00 90.00 120.00
Space group P-6m2 (No. 187)
One atom of each set of equivalent atoms:
1 Y 0.0000 0.0000 0.1484
2 Y 0.3333 0.6667 0.3397
3 Fe 0.3333 0.6667 0.0000
4 Au 0.0000 0.0000 0.5000
5 C 0.6667 0.3333 0.2488

Electronic total energy ... -7.165 eV/atom

=====

Record 7
Material: Hf4SiPN2
Method: DFT, PBE-GGA
State: relaxed

a b c (Å): 3.2943 3.2943 12.5526
angles (deg): 90.00 90.00 120.00
Space group P-6m2 (No. 187)
One atom of each set of equivalent atoms:
1 Hf 0.0000 0.0000 0.1419
2 Hf 0.3333 0.6667 0.3392
3 Si 0.0000 0.0000 0.5000
4 P 0.3333 0.6667 0.0000
5 N 0.6667 0.3333 0.2420

Electronic total energy ... -9.688 eV/atom

=====

Record 8
Material: LiYNb2
Method: DFT, PBE-GGA
State: relaxed

a b c (Å): 6.786 6.786 6.786
angles (deg): 90.00 90.00 90.00
Space group F-43m (No. 216)
One atom of each set of equivalent atoms:
1 Li 0.000 0.000 0.000
2 Y 0.250 0.250 0.250
3 Nb 0.000 0.000 0.500
4 Nb 0.250 0.250 0.750

Electronic total energy ... -6.794 eV/atom